Density functional theory data (PBE) for Ti2IrRh2 after structural relaxation.

Properties
- VASP energy (eV for the cell shown) = -84.1
- volume (Å³ per atom) = 15.19
- energy above the lowest structure with this stoichiometry (meV per atom) = 0
- DOS at the Fermi energy (states/eV/cell) = 9.00
- E_form (eV per formula unit) = -2.7

Cell: 7.1624 7.1624 2.9617 Å, 90.00 90.00 90.00°
Space group P4/mbm (No. 127)
Symmetry-distinct sites (fractional):
Ti 0.1720 0.3280 0.0000 [4 per cell]
Ir 0.0000 0.0000 0.5000 [2 per cell]
Rh 0.1318 0.6318 0.5000 [4 per cell]